Entry 1:
Material: ZrBi2O5
Method: DFT, GGA-PBE
State: relaxed

```
ZrBi2O5
1.0
10.024 0.000 0.000
0.000 6.883 0.000
0.000 0.000 6.336
Zr Bi O
4 8 20
Direct
0.002 0.250 0.063
0.498 0.750 0.563
0.502 0.250 0.437
0.998 0.750 0.937
0.174 0.501 0.484
0.174 0.999 0.484
0.326 0.001 0.984
0.326 0.499 0.984
0.674 0.501 0.016
0.674 0.999 0.016
0.826 0.001 0.516
0.826 0.499 0.516
0.006 0.250 0.417
0.086 0.530 0.152
0.086 0.970 0.152
0.186 0.250 0.862
0.206 0.750 0.832
0.294 0.250 0.332
0.314 0.750 0.362
0.414 0.030 0.652
0.414 0.470 0.652
0.494 0.750 0.917
0.506 0.250 0.083
0.586 0.530 0.348
0.586 0.970 0.348
0.686 0.250 0.638
0.706 0.750 0.668
0.794 0.250 0.168
0.814 0.750 0.138
0.914 0.030 0.848
0.914 0.470 0.848
0.994 0.750 0.583
```

Crystal system ... orthorhombic

Entry 2:
Material: Zr4PbSe
Method: DFT, GGA-PBE
State: relaxed

```
Zr4PbSe
1.0
0.000 4.127 4.127
4.127 0.000 4.127
4.127 4.127 0.000
Zr Pb Se
4 1 1
Direct
0.124 0.124 0.124
0.124 0.124 0.628
0.124 0.628 0.124
0.628 0.124 0.124
0.750 0.750 0.750
0.500 0.500 0.500
```

Crystal system ... cubic

Entry 3:
Material: CuGeB2
Method: DFT, GGA-PBE
State: relaxed

```
CuGeB2
1.0
-2.384 2.384 4.762
2.384 -2.384 4.762
2.384 2.384 -4.762
Cu Ge B
2 2 4
Direct
0.000 0.000 0.000
0.750 0.250 0.500
0.250 0.750 0.500
0.500 0.500 0.000
0.117 0.625 0.992
0.375 0.367 0.492
0.633 0.125 0.008
0.875 0.883 0.508
```

Crystal system ... tetragonal

Entry 4:
Material: LaGeRh
Method: DFT, GGA-PBE
State: relaxed

```
LaGeRh
1.0
5.737 -2.232 0.000
5.737 2.232 0.000
-1.116 0.000 5.256
La Ge Rh
2 2 2
Direct
0.118 0.118 0.312
0.882 0.882 0.688
0.402 0.402 0.187
0.598 0.598 0.813
0.195 0.195 0.849
0.805 0.805 0.151
```

Crystal system ... monoclinic

Results for energy: -7.11, -6.77, -4.56, -6.51 (in eV/atom, following the order of the records).